1.
Density functional theory data (PBE-GGA) for an optimized crystal structure of V12Si3Ir.

Calculated values
Symmetry: Pmmm, No. 47
Total magnetic moment (μB/f.u.): 0.0
Raw total energy (eV/atom): -8.882
Formation energy (no corrections) (meV per atom): -472

Unit cell a=4.718 b=4.726 c=9.464 alpha=90.00 beta=90.00 gamma=90.00
Element x y z (fractional)
V: 0.000 0.000 0.122
V: 0.000 0.000 0.371
V: 0.000 0.000 0.629
V: 0.000 0.000 0.878
V: 0.252 0.500 0.252
V: 0.252 0.500 0.748
V: 0.500 0.246 0.500
V: 0.500 0.249 0.000
V: 0.500 0.751 0.000
V: 0.500 0.754 0.500
V: 0.748 0.500 0.252
V: 0.748 0.500 0.748
Si: 0.000 0.500 0.500
Si: 0.500 0.000 0.253
Si: 0.500 0.000 0.747
Ir: 0.000 0.500 0.000

***

2.
Density functional theory data (PBE-GGA) for an optimized crystal structure of V2SiIr.

Calculated values
Symmetry: P4/mmm, No. 123
Total magnetic moment (μB/f.u.): 0.0
Raw total energy (eV/atom): -8.573
Formation energy (no corrections) (meV per atom): -443

Unit cell a=2.722 b=2.722 c=7.212 alpha=90.00 beta=90.00 gamma=90.00
Element x y z (fractional)
V: 0.000 0.000 0.243
V: 0.000 0.000 0.757
Si: 0.500 0.500 0.000
Ir: 0.500 0.500 0.500

***

3.
Density functional theory data (PBE-GGA) for an optimized crystal structure of V2SiIr.

Calculated values
Symmetry: P4/mmm, No. 123
Total magnetic moment (μB/f.u.): 0.0
Raw total energy (eV/atom): -8.625
Formation energy (no corrections) (meV per atom): -495

Unit cell a=3.636 b=3.636 c=4.042 alpha=90.00 beta=90.00 gamma=90.00
Element x y z (fractional)
V: 0.000 0.500 0.000
V: 0.500 0.000 0.000
Si: 0.000 0.000 0.500
Ir: 0.500 0.500 0.500

***

4.
Density functional theory data (PBE-GGA) for an optimized crystal structure of V2SiIr.

Calculated values
Symmetry: I-42d, No. 122
Total magnetic moment (μB/f.u.): 0.0
Raw total energy (eV/atom): -8.052
Formation energy (no corrections) (meV per atom): 79

Unit cell a=5.444 b=5.444 c=5.444 alpha=102.63 beta=102.63 gamma=124.25
Element x y z (fractional)
V: 0.123 0.625 0.998
V: 0.375 0.373 0.498
V: 0.627 0.125 0.002
V: 0.875 0.877 0.502
Si: 0.250 0.750 0.500
Si: 0.500 0.500 0.000
Ir: 0.000 0.000 0.000
Ir: 0.750 0.250 0.500

***

5.
Density functional theory data (PBE-GGA) for an optimized crystal structure of V5Si5Ir.

Calculated values
Symmetry: C2/m, No. 12
Total magnetic moment (μB/f.u.): 0.7
Raw total energy (eV/atom): -7.373
Formation energy (no corrections) (meV per atom): 42

Unit cell a=5.809 b=5.809 c=6.587 alpha=103.19 beta=103.19 gamma=47.92
Element x y z (fractional)
V: 0.000 0.000 0.000
V: 0.334 0.334 0.120
V: 0.398 0.398 0.786
V: 0.602 0.602 0.214
V: 0.666 0.666 0.880
Si: 0.174 0.174 0.795
Si: 0.215 0.215 0.409
Si: 0.500 0.500 0.500
Si: 0.785 0.785 0.591
Si: 0.826 0.826 0.205
Ir: 0.000 0.000 0.500

***

6.
Density functional theory data (PBE-GGA) for an optimized crystal structure of VSiIr3.

Calculated values
Symmetry: Pm-3m, No. 221
Total magnetic moment (μB/f.u.): 0.0
Energy relative to the lowest polymorph listed for this composition (meV per atom): 702
Raw total energy (eV/atom): -6.910
Formation energy (no corrections) (meV per atom): 1315

Unit cell a=4.535 b=4.535 c=4.535 alpha=90.00 beta=90.00 gamma=90.00
Element x y z (fractional)
V: 0.000 0.000 0.000
Si: 0.500 0.500 0.500
Ir: 0.000 0.000 0.500
Ir: 0.000 0.500 0.000
Ir: 0.500 0.000 0.000

***

7.
Density functional theory data (PBE-GGA) for an optimized crystal structure of Y2VSi3Ir4.

Calculated values
Symmetry: P-4m2, No. 115
Total magnetic moment (μB/f.u.): 0.1
Raw total energy (eV/atom): -8.351
Formation energy (no corrections) (meV per atom): -975

Unit cell a=4.095 b=4.095 c=10.149 alpha=90.00 beta=90.00 gamma=90.00
Element x y z (fractional)
Y: 0.000 0.500 0.248
Y: 0.500 0.000 0.752
V: 0.000 0.000 0.500
Si: 0.000 0.500 0.871
Si: 0.500 0.000 0.129
Si: 0.500 0.500 0.500
Ir: 0.000 0.000 0.000
Ir: 0.000 0.500 0.636
Ir: 0.500 0.000 0.364
Ir: 0.500 0.500 0.000

***

8.
Density functional theory data (PBE-GGA) for an optimized crystal structure of SiIr2W.

Calculated values
Symmetry: R3m, No. 160
Total magnetic moment (μB/f.u.): 0.0
Raw total energy (eV/atom): -9.206
Formation energy (no corrections) (meV per atom): -182

Unit cell a=8.645 b=8.645 c=8.645 alpha=18.75 beta=18.75 gamma=18.75
Element x y z (fractional)
Si: 0.000 0.000 0.000
Ir: 0.499 0.499 0.499
Ir: 0.739 0.739 0.739
W: 0.248 0.248 0.248